! Al2NiHRu (PBE, relaxed); values from VASP
&SYSTEM
  ibrav = 0, nat = 5, ntyp = 4
/
ATOMIC_SPECIES
Al 26.98 Al.upf
Ni 58.69 Ni.upf
H 1.01 H.upf
Ru 101.07 Ru.upf
CELL_PARAMETERS angstrom
4.120 0.000 0.000
0.000 4.120 0.000
0.000 0.000 3.189
ATOMIC_POSITIONS angstrom
Al 0.000 2.060 0.000
Al 2.060 0.000 0.000
Ni 0.000 0.000 1.594
H 0.000 0.000 0.000
Ru 2.060 2.060 1.594
! - Crystal system: tetragonal
! - M_tot: 0.00 μB per atom
! - Offset from the most stable computed form: 0 meV/atom
! - SG: P4/mmm, No. 123

---

! NaAcSbBr (PBE, relaxed); values from VASP
&SYSTEM
  ibrav = 0, nat = 4, ntyp = 4
/
ATOMIC_SPECIES
Na 22.99 Na.upf
Ac 227.00 Ac.upf
Sb 121.76 Sb.upf
Br 79.90 Br.upf
CELL_PARAMETERS angstrom
0.000 3.945 3.945
3.945 0.000 3.945
3.945 3.945 0.000
ATOMIC_POSITIONS angstrom
Na 0.000 0.000 0.000
Ac 3.945 3.945 3.945
Sb 1.973 1.973 1.973
Br 5.918 5.918 5.918
! - Crystal system: cubic
! - M_tot: 0.00 μB per atom
! - SG: F-43m, No. 216
! - Formation energy from raw total energies: -1.137 eV/atom